A plane-wave DFT calculation with GGA+U was carried out for MoSF after structural relaxation.

Summary:
**DOS at the Fermi energy**: 0.71 states/eV/f.u.
**Crystal system**: tetragonal
**VASP energy**: -5.56 eV/atom
**Space-group type**: No. 123

Geometry as CIF:
```
data_MoSF
_chemical_formula_sum 'Mo1 S1 F1'
_symmetry_space_group_name_H-M 'P 1'
_symmetry_Int_Tables_number 1
_cell_length_a 3.636
_cell_length_b 3.636
_cell_length_c 4.214
_cell_angle_alpha 90.00
_cell_angle_beta 90.00
_cell_angle_gamma 90.00
loop_
_symmetry_equiv_pos_as_xyz
'x,y,z'
loop_
_atom_site_label
_atom_site_fract_x
_atom_site_fract_y
_atom_site_fract_z
Mo1 0.000 0.000 0.000
S1 0.500 0.500 0.000
F1 0.000 0.000 0.500
```